# 1
{
  "formula": "Cd2FeNi",
  "functional": "PBE",
  "state": "relaxed",
  "de_polymorph_kcal_per_mol_atoms": 3.703,
  "e_form_ev_per_atom": 0.2827,
  "sg": "I-4m2, No. 119",
  "magmom_total_mub_per_fu": 3.20,
  "lattice": [[4.819, -0.035, 0.000], [1.417, 4.606, 0.000], [-3.118, -2.285, 2.877]],
  "species": ["Cd", "Cd", "Fe", "Ni"],
  "frac_coords": [[0.000, 0.000, 0.000], [0.250, 0.750, 0.500], [0.500, 0.500, 0.000], [0.750, 0.250, 0.500]]
}

---

# 2
{
  "formula": "Cd2FeNi",
  "functional": "PBE",
  "state": "relaxed",
  "de_polymorph_kcal_per_mol_atoms": 2.286,
  "e_form_ev_per_atom": 0.2213,
  "sg": "Imm2, No. 44",
  "magmom_total_mub_per_fu": 3.15,
  "lattice": [[-4.630, 2.524, -1.216], [-3.912, 0.181, 3.736], [5.064, 1.290, -1.408]],
  "species": ["Cd", "Cd", "Fe", "Ni"],
  "frac_coords": [[0.019, 0.019, 0.000], [0.737, 0.237, 0.500], [0.472, 0.472, 0.000], [0.272, 0.772, 0.500]]
}

---

# 3
{
  "formula": "CdFe3Ni",
  "functional": "PBE",
  "state": "relaxed",
  "de_polymorph_kcal_per_mol_atoms": 0.000,
  "e_form_ev_per_atom": 0.8148,
  "sg": "Pm-3m, No. 221",
  "magmom_total_mub_per_fu": 9.43,
  "lattice": [[4.379, 0.000, 0.000], [0.000, 4.379, 0.000], [0.000, 0.000, 4.379]],
  "species": ["Ni", "Fe", "Fe", "Fe", "Cd"],
  "frac_coords": [[0.000, 0.000, 0.000], [0.000, 0.500, 0.000], [0.000, 0.000, 0.500], [0.500, 0.000, 0.000], [0.500, 0.500, 0.500]]
}

---

# 4
{
  "formula": "CdFeNi2",
  "functional": "PBE",
  "state": "relaxed",
  "e_form_ev_per_atom": 0.1334,
  "sg": "I4/mmm, No. 139",
  "magmom_total_mub_per_fu": 3.87,
  "lattice": [[4.482, -0.022, 0.000], [1.126, 4.338, 0.000], [-2.804, -2.158, 2.751]],
  "species": ["Cd", "Fe", "Ni", "Ni"],
  "frac_coords": [[0.250, 0.750, 0.500], [0.750, 0.250, 0.500], [0.000, 0.000, 0.000], [0.500, 0.500, 0.000]]
}

---

# 5
{
  "formula": "CdFeNi2",
  "functional": "PBE",
  "state": "relaxed",
  "e_form_ev_per_atom": 0.1638,
  "sg": "R-3m, No. 166",
  "magmom_total_mub_per_fu": 3.78,
  "lattice": [[8.653, 0.009, 0.005], [8.224, 2.689, 0.005], [8.224, 1.315, 2.346]],
  "species": ["Cd", "Fe", "Ni", "Ni"],
  "frac_coords": [[0.250, 0.250, 0.250], [0.750, 0.750, 0.750], [0.008, 0.008, 0.008], [0.492, 0.492, 0.492]]
}

---

# 6
{
  "formula": "Cd2FeNi",
  "functional": "PBE",
  "state": "relaxed",
  "de_polymorph_kcal_per_mol_atoms": 4.009,
  "e_form_ev_per_atom": 0.2960,
  "sg": "F-43m, No. 216",
  "magmom_total_mub_per_fu": 3.32,
  "lattice": [[4.497, 0.000, 0.000], [2.248, 3.894, 0.000], [2.248, 1.298, 3.672]],
  "species": ["Cd", "Cd", "Fe", "Ni"],
  "frac_coords": [[0.000, 0.000, 0.000], [0.750, 0.750, 0.750], [0.500, 0.500, 0.500], [0.250, 0.250, 0.250]]
}

---

# 7
{
  "formula": "Cd2FeNi",
  "functional": "PBE",
  "state": "relaxed",
  "de_polymorph_kcal_per_mol_atoms": 2.532,
  "e_form_ev_per_atom": 0.2320,
  "sg": "Pm, No. 6",
  "magmom_total_mub_per_fu": 3.08,
  "lattice": [[4.247, 0.000, 0.000], [0.000, 2.825, -0.011], [0.000, 1.269, 5.388]],
  "species": ["Cd", "Cd", "Fe", "Ni"],
  "frac_coords": [[0.000, 0.972, 0.966], [0.500, 0.278, 0.284], [0.000, 0.639, 0.518], [0.500, 0.612, 0.732]]
}

---

# 8
{
  "formula": "CdFe3Ni",
  "functional": "PBE",
  "state": "relaxed",
  "de_polymorph_kcal_per_mol_atoms": 26.030,
  "e_form_ev_per_atom": 1.9436,
  "sg": "Pm-3m, No. 221",
  "magmom_total_mub_per_fu": 9.57,
  "lattice": [[4.707, 0.000, 0.000], [0.000, 4.707, 0.000], [0.000, 0.000, 4.707]],
  "species": ["Ni", "Fe", "Fe", "Fe", "Cd"],
  "frac_coords": [[0.500, 0.500, 0.500], [0.000, 0.500, 0.000], [0.000, 0.000, 0.500], [0.500, 0.000, 0.000], [0.000, 0.000, 0.000]]
}

---

# 9
{
  "formula": "Cd2FeNi",
  "functional": "PBE",
  "state": "relaxed",
  "de_polymorph_kcal_per_mol_atoms": 10.176,
  "e_form_ev_per_atom": 0.5635,
  "sg": "I-42d, No. 122",
  "magmom_total_mub_per_fu": 2.85,
  "lattice": [[-5.863, -0.562, 4.178], [4.193, -1.506, 5.683], [-0.674, 1.603, 5.511]],
  "species": ["Ni", "Ni", "Fe", "Fe", "Cd", "Cd", "Cd", "Cd"],
  "frac_coords": [[0.000, 0.000, 0.000], [0.750, 0.250, 0.500], [0.500, 0.500, 0.000], [0.250, 0.750, 0.500], [0.638, 0.125, 0.250], [0.112, 0.625, 0.250], [0.375, 0.362, 0.750], [0.875, 0.888, 0.750]]
}

---

# 10
{
  "formula": "CdFeNi2",
  "functional": "PBE",
  "state": "relaxed",
  "e_form_ev_per_atom": 0.1697,
  "sg": "Cmmm, No. 65",
  "magmom_total_mub_per_fu": 3.74,
  "lattice": [[-3.636, -2.614, 0.090], [1.721, -0.480, 4.107], [-1.511, 2.132, 0.882]],
  "species": ["Cd", "Fe", "Ni", "Ni"],
  "frac_coords": [[0.500, 0.000, 0.500], [0.000, 0.500, 0.500], [0.000, 0.000, 0.000], [0.500, 0.500, 0.000]]
}

---

# 11
{
  "formula": "CdFeNi2",
  "functional": "PBE",
  "state": "relaxed",
  "e_form_ev_per_atom": 0.1523,
  "sg": "P4mm, No. 99",
  "magmom_total_mub_per_fu": 3.43,
  "lattice": [[2.986, 0.000, 0.000], [0.000, 2.986, 0.000], [0.000, 0.000, 6.103]],
  "species": ["Cd", "Fe", "Ni", "Ni"],
  "frac_coords": [[0.000, 0.000, 0.491], [0.500, 0.500, 0.804], [0.000, 0.000, 0.994], [0.500, 0.500, 0.211]]
}

---

# 12
{
  "formula": "Cd2FeNi",
  "functional": "PBE",
  "state": "relaxed",
  "de_polymorph_kcal_per_mol_atoms": 4.227,
  "e_form_ev_per_atom": 0.3055,
  "sg": "R-3m, No. 166",
  "magmom_total_mub_per_fu": 3.03,
  "lattice": [[9.105, 0.002, 0.001], [8.646, 2.854, 0.001], [8.646, 1.391, 2.492]],
  "species": ["Cd", "Cd", "Fe", "Ni"],
  "frac_coords": [[0.003, 0.003, 0.003], [0.497, 0.497, 0.497], [0.250, 0.250, 0.250], [0.750, 0.750, 0.750]]
}